Below is a geometry-optimized AgP2Pb structure, with properties calculated at the PBEsol level.

a = 3.2665 Å, b = 5.0873 Å, c = 5.8765 Å
α = 111.38°, β = 106.14°, γ = 90.00°
Atoms (fractional coordinates):
Pb1 0.5000 0.5000 0.0000
P1 0.7681 0.8740 0.5361
P2 0.2319 0.1260 0.4639
Ag1 0.0000 0.0000 0.0000

## Properties
* crystal system: monoclinic
* energy: -18.6 eV for the cell shown
* D(E_F): 0.322 states/eV/atom



Below is a geometry-optimized Ag2PPb structure, with properties calculated at the PBEsol level.

a = 3.1283 Å, b = 3.7989 Å, c = 6.5783 Å
α = 90.00°, β = 90.00°, γ = 90.00°
Atoms (fractional coordinates):
Ag1 0.0000 0.0000 0.0420
Ag2 0.5000 0.5000 0.2747
P1 0.0000 0.0000 0.4329
Pb1 0.5000 0.5000 0.7504

## Properties
* crystal system: orthorhombic
* energy: -15.5 eV for the cell shown
* D(E_F): 0.390 states/eV/atom



Below is a geometry-optimized AgP2PbS structure, with properties calculated at the PBEsol level.

a = 4.7256 Å, b = 4.7256 Å, c = 4.9678 Å
α = 90.00°, β = 90.00°, γ = 90.00°
Atoms (fractional coordinates):
Pb1 0.5000 0.5000 0.5000
P1 0.0000 0.5000 0.0000
P2 0.5000 0.0000 0.0000
S1 0.0000 0.0000 0.5000
Ag1 0.0000 0.0000 0.0000

## Properties
* crystal system: tetragonal
* D(E_F): 1.068 states/eV/atom
* formation energy without anion corrections: 0.722 eV per atom



Below is a geometry-optimized AgP2Pd2 structure, with properties calculated at the PBEsol level.

a = 3.4545 Å, b = 3.4545 Å, c = 6.8708 Å
α = 104.56°, β = 104.56°, γ = 90.00°
Atoms (fractional coordinates):
P1 0.2500 0.7500 0.5000
P2 0.7500 0.2500 0.5000
Pd1 0.3898 0.3898 0.7796
Pd2 0.6102 0.6102 0.2204
Ag1 0.0000 0.0000 0.0000

## Properties
* crystal system: tetragonal
* energy: -26.9 eV for the cell shown
* D(E_F): 0.505 states/eV/atom



Below is a geometry-optimized AgP2PdS structure, with properties calculated at the PBEsol level.

a = 4.5231 Å, b = 4.5231 Å, c = 4.8982 Å
α = 90.00°, β = 90.00°, γ = 90.00°
Atoms (fractional coordinates):
P1 0.0000 0.5000 0.0000
P2 0.5000 0.0000 0.0000
S1 0.0000 0.0000 0.5000
Pd1 0.0000 0.0000 0.0000
Ag1 0.5000 0.5000 0.5000

## Properties
* crystal system: tetragonal
* D(E_F): 0.837 states/eV/atom
* formation energy without anion corrections: 0.775 eV per atom



Below is a geometry-optimized AgPPdS2 structure, with properties calculated at the PBEsol level.

a = 4.3834 Å, b = 4.8001 Å, c = 4.8001 Å
α = 90.00°, β = 90.00°, γ = 90.00°
Atoms (fractional coordinates):
P1 0.5000 0.0000 0.0000
S1 0.0000 0.0000 0.5000
S2 0.0000 0.5000 0.0000
Pd1 0.0000 0.0000 0.0000
Ag1 0.5000 0.5000 0.5000

## Properties
* crystal system: tetragonal
* D(E_F): 0.844 states/eV/atom
* formation energy without anion corrections: 0.661 eV per atom



Below is a geometry-optimized AgPPdS2 structure, with properties calculated at the PBEsol level.

a = 4.6577 Å, b = 4.6950 Å, c = 4.6950 Å
α = 90.00°, β = 90.00°, γ = 90.00°
Atoms (fractional coordinates):
P1 0.5000 0.0000 0.0000
S1 0.0000 0.0000 0.5000
S2 0.0000 0.5000 0.0000
Pd1 0.5000 0.5000 0.5000
Ag1 0.0000 0.0000 0.0000

## Properties
* crystal system: tetragonal
* D(E_F): 1.447 states/eV/atom
* formation energy without anion corrections: 1.163 eV per atom



Below is a geometry-optimized PrZnAgP2 structure, with properties calculated at the PBEsol level.

a = 4.1238 Å, b = 4.1238 Å, c = 6.7120 Å
α = 90.00°, β = 90.00°, γ = 120.00°
Atoms (fractional coordinates):
Pr1 0.0000 0.0000 0.0117
P1 0.6667 0.3333 0.7456
P2 0.3333 0.6667 0.2534
Zn1 0.3333 0.6667 0.6272
Ag1 0.6667 0.3333 0.3621

## Properties
* crystal system: trigonal
* energy: -25.1 eV for the cell shown
* D(E_F): 0.016 states/eV/atom



Below is a geometry-optimized AgP2Pt structure, with properties calculated at the PBEsol level.

a = 3.8986 Å, b = 4.0608 Å, c = 4.2826 Å
α = 93.29°, β = 90.00°, γ = 90.00°
Atoms (fractional coordinates):
P1 0.0000 0.2829 0.3416
P2 0.0000 0.7171 0.6584
Pt1 0.5000 0.0000 0.5000
Ag1 0.5000 0.5000 0.0000

## Properties
* crystal system: monoclinic
* energy: -22.2 eV for the cell shown
* D(E_F): 0.415 states/eV/atom



Below is a geometry-optimized AgP2Pt structure, with properties calculated at the PBEsol level.

a = 4.4280 Å, b = 4.4280 Å, c = 4.4280 Å
α = 60.00°, β = 60.00°, γ = 60.00°
Atoms (fractional coordinates):
Ag1 0.5000 0.5000 0.5000
P1 0.0000 0.0000 0.0000
P2 0.2500 0.2500 0.2500
Pt1 0.7500 0.7500 0.7500

## Properties
* crystal system: cubic
* energy: -20.0 eV for the cell shown
* D(E_F): 0.349 states/eV/atom



Below is a geometry-optimized AgP2Pt structure, with properties calculated at the PBEsol level.

a = 3.6804 Å, b = 3.8542 Å, c = 5.5237 Å
α = 93.99°, β = 90.00°, γ = 118.52°
Atoms (fractional coordinates):
P1 0.0558 0.1116 0.0577
P2 0.7280 0.4561 0.4389
Pt1 0.3992 0.7984 0.2527
Ag1 0.3169 0.6338 0.7507

## Properties
* crystal system: monoclinic
* energy: -22.3 eV for the cell shown
* D(E_F): 0.377 states/eV/atom



Below is a geometry-optimized ReAgP2Pt structure, with properties calculated at the PBEsol level.

a = 4.4592 Å, b = 4.4592 Å, c = 4.9870 Å
α = 90.00°, β = 90.00°, γ = 90.00°
Atoms (fractional coordinates):
Re1 0.0000 0.0000 0.5000
Ag1 0.0000 0.0000 0.0000
Pt1 0.5000 0.5000 0.5000
P1 0.0000 0.5000 0.0000
P2 0.5000 0.0000 0.0000

## Properties
* crystal system: tetragonal
* energy: -24.7 eV for the cell shown
* D(E_F): 0.874 states/eV/atom